No. 1
First-principles (PBE) data for an optimized crystal structure of Ac6As2S3N, as listed in Alexandria.

POSCAR file:
```
Ac6As2S3N
1.0
4.3154 0.0000 0.0000
0.0000 8.7310 0.3025
-2.1577 -2.5243 9.1225
S N Ac As
3 1 6 2
Cartesian
0.0000 6.4425 3.3492
2.1577 -0.2358 6.0758
2.1577 4.3655 0.1512
2.1577 0.0000 0.0000
0.0000 6.8094 0.2637
0.0000 6.3366 6.6411
2.1577 4.2872 3.1819
2.1577 -0.1299 2.7838
2.1577 -0.6027 9.1612
0.0000 1.9195 6.2431
2.1577 4.1426 6.3070
0.0000 2.0641 3.1180
```

No. 2
First-principles (PBE) data for an optimized crystal structure of MnIn2HgS, as listed in Alexandria.

POSCAR file:
```
MnIn2HgS
1.0
5.0147 0.0000 0.0000
0.0000 4.9440 0.0000
0.0000 0.0000 5.0147
Mn In Hg S
1 2 1 1
Cartesian
0.0000 0.0000 0.0000
0.0000 0.0000 2.5074
2.5074 0.0000 0.0000
0.0000 2.4720 0.0000
2.5074 2.4720 2.5074
```

| no. | E_form (uncorrected) (eV/atom) |
| --- | --- |
| 1 | -1.657 |
| 2 | 0.494 |